(1)
Crystalline DyTmTlPb at its relaxed geometry. Source: the Alexandria database, functional GGA-PBE.

abc: 4.988 4.988 5.629
angles: 116.31 116.30 90.00
Fractional positions:
Dy1 0.750 0.250 0.500
Tm1 0.250 0.750 0.500
Tl1 0.000 0.000 0.000
Pb1 0.500 0.500 0.000

* ΔE to the lowest computed polymorph: 0.00 eV per formula unit
* raw total energy: -4.1493 eV per atom
* E_form: -0.36 eV per atom
* size of the total moment: 0.0 μB per formula unit
* SG: I-4m2

=====

(2)
Crystalline DyTmTlPb at its relaxed geometry. Source: the Alexandria database, functional GGA-PBE.

abc: 5.383 5.383 5.383
angles: 60.00 60.00 60.00
Fractional positions:
Pb1 0.500 0.500 0.500
Tl1 0.000 0.000 0.000
Tm1 0.750 0.750 0.750
Dy1 0.250 0.250 0.250

* ΔE to the lowest computed polymorph: 0.15 eV per formula unit
* raw total energy: -4.1117 eV per atom
* E_form: -0.32 eV per atom
* size of the total moment: 0.0 μB per formula unit
* SG: F-43m

=====

(3)
Crystalline DyYTlPb at its relaxed geometry. Source: the Alexandria database, functional GGA-PBE.

abc: 5.018 5.018 5.654
angles: 116.33 116.34 90.00
Fractional positions:
Dy1 0.250 0.750 0.500
Y1 0.750 0.250 0.500
Tl1 0.000 0.000 0.000
Pb1 0.500 0.500 0.000

* ΔE to the lowest computed polymorph: 0.00 eV per formula unit
* raw total energy: -4.6903 eV per atom
* E_form: -0.41 eV per atom
* size of the total moment: 0.0 μB per formula unit
* SG: I-4m2

=====

Sequential D(E_F) output: 3.13 3.79 3.18 states/eV/f.u.